The following is a PBE-GGA calculation of a relaxed structure of AcScAsO2, from the Alexandria database.

Geometry as CIF:
```
data_AcScAsO2
_symmetry_space_group_name_H-M 'C m c m'
_symmetry_Int_Tables_number 63
_symmetry_space_group_name_Hall '-C 2c 2'
_cell_length_a 4.067
_cell_length_b 12.311
_cell_length_c 7.307
_cell_angle_alpha 90.00
_cell_angle_beta 90.00
_cell_angle_gamma 90.00
loop_
_atom_site_label
_atom_site_fract_x
_atom_site_fract_y
_atom_site_fract_z
Ac1 0.000 0.226 0.250
Sc1 0.000 0.500 0.000
As1 0.000 0.045 0.750
O1 0.000 0.338 0.551
```

Results
Energy = -149.64 eV/cell
Formation energy without anion corrections = -2.481 eV/atom
Total moment = 0.00 Bohr magnetons per cell